[1]
LiTbPmAg | PBE-GGA | optimized geometry

The space group is F-43m (No. 216) and the conventional cell measures 7.419, 7.419 and 7.419 Å, with angles of 90.00, 90.00 and 90.00 degrees. The distinct sites, in fractional coordinates, are Li at (0.000, 0.000, 0.000), Tb at (0.250, 0.250, 0.750), Pm at (0.250, 0.250, 0.250) and Ag at (0.000, 0.000, 0.500).

The volume comes out at 408 Å³/cell. For the formation energy, the calculation gives -0.07 eV/atom. The electronic total energy comes out at -57.76 eV for the cell shown.

=====

[2]
LiPm2AgTe4 | PBE-GGA | optimized geometry

The space group is P2/m (No. 10) and the conventional cell measures 7.524, 4.466 and 7.734 Å, with angles of 90.00, 110.50 and 90.00 degrees. The distinct sites, in fractional coordinates, are Li at (0.000, 0.000, 0.000), Pm at (0.500, 0.000, 0.500), Pm at (0.500, 0.500, 0.000), Ag at (0.000, 0.500, 0.500), Te at (0.239, 0.000, 0.746) and Te at (0.241, 0.500, 0.244).

The volume comes out at 243 Å³/cell. The electronic total energy comes out at -35.41 eV for the cell shown.

=====

[3]
Li2PmTl2Ag2 | PBE-GGA | optimized geometry

The space group is R-3m (No. 166, hexagonal axes) and the conventional cell measures 4.8826, 4.8826 and 22.2385 Å, with angles of 90.00, 90.00 and 120.00 degrees. The distinct sites, in fractional coordinates, are Li at (0.0000, 0.0000, 0.1439), Pm at (0.0000, 0.0000, 0.0000), Tl at (0.0000, 0.0000, 0.2672) and Ag at (0.0000, 0.0000, 0.4336).

The volume comes out at 459 Å³/cell. For the formation energy, the calculation gives -0.19 eV/atom. The electronic total energy comes out at -61.04 eV for the cell shown.

=====

Q: Which of these has the highest electronic total energy?
A: LiPm2AgTe4

=====

Q: The lowest electronic total energy belongs to which entry?
A: Li2PmTl2Ag2

=====

Copy entry 3 word for word.
Li2PmTl2Ag2 | PBE-GGA | optimized geometry

The space group is R-3m (No. 166, hexagonal axes) and the conventional cell measures 4.8826, 4.8826 and 22.2385 Å, with angles of 90.00, 90.00 and 120.00 degrees. The distinct sites, in fractional coordinates, are Li at (0.0000, 0.0000, 0.1439), Pm at (0.0000, 0.0000, 0.0000), Tl at (0.0000, 0.0000, 0.2672) and Ag at (0.0000, 0.0000, 0.4336).

The volume comes out at 459 Å³/cell. For the formation energy, the calculation gives -0.19 eV/atom. The electronic total energy comes out at -61.04 eV for the cell shown.